No. 1
# Zn3Sn

A relaxed structure of Zn3Sn (GGA-PBE, OQMD via LeMat-Bulk).

Properties
final energy: -7.212 eV/f.u.
volume: 302 Å³ per cell

Lattice parameters (Å, degrees): 5.9469 10.8847 4.6694 90.00 90.00 90.00
Last column: nearest neighbours and their distance in Å.
Space group Cmcm (No. 63)
One atom of each set of equivalent atoms:
Zn (0.0000, 0.0789, 0.2500) x4  8 Zn 2.83-2.92, 2 Sn 2.98
Zn (0.2271, 0.1585, 0.7500) x8  4 Zn 2.70-2.92, 3 Sn 2.91-2.93
Sn (0.0000, 0.3973, 0.7500) x4  8 Zn 2.91-2.98, 2 Sn 3.23

=====

No. 2
# Ac2ErIrO6

A relaxed structure of Ac2ErIrO6 (GGA-PBE, OQMD via LeMat-Bulk).

Properties
final energy: -78.368 eV/f.u.
volume: 142 Å³ per cell

Lattice parameters (Å, degrees): 5.7582 5.7590 5.8710 61.23 61.83 60.70
Last column: nearest neighbours and their distance in Å.
Space group P-1 (No. 2)
One atom of each set of equivalent atoms:
Ac (0.2449, 0.2464, 0.2672) x2  5 O 2.50-2.64
Er (0.0000, 0.0000, 0.0000) x1  6 O 2.17-2.19
Ir (0.5000, 0.5000, 0.5000) x1  6 O 2.07-2.08
O (0.1971, 0.3133, 0.6970) x2  1 Ir 2.07, 1 Er 2.17
O (0.2099, 0.8020, 0.6864) x2  1 Ir 2.07, 1 Er 2.17
O (0.3527, 0.7423, 0.1641) x2  1 Ir 2.08, 1 Er 2.19

=====

No. 3
# LiGaCoHg

A relaxed structure of LiGaCoHg (GGA-PBE, OQMD via LeMat-Bulk).

Properties
final energy: -12.553 eV/f.u.
volume: 233 Å³ per cell

Lattice parameters (Å, degrees): 6.1540 6.1540 6.1540 90.00 90.00 90.00
Last column: nearest neighbours and their distance in Å.
Space group F-43m (No. 216)
One atom of each set of equivalent atoms:
Li (0.0000, 0.0000, 0.0000) x4  4 Hg 2.66, 4 Ga 2.66
Ga (0.2500, 0.2500, 0.2500) x4  4 Li 2.66, 4 Co 2.66
Co (0.0000, 0.0000, 0.5000) x4  4 Hg 2.66, 4 Ga 2.66
Hg (0.2500, 0.2500, 0.7500) x4  4 Li 2.66, 4 Co 2.66